! Sr2ScHg GGA-PBE relaxed; values from VASP
&SYSTEM
  ibrav = 0, nat = 4, ntyp = 3
/
ATOMIC_SPECIES
Hg 200.59 Hg.upf
Sc 44.96 Sc.upf
Sr 87.62 Sr.upf
ATOMIC_POSITIONS angstrom
Hg 0.000 0.000 5.339
Sc 1.918 1.918 6.566
Sr 0.000 0.000 9.275
Sr 1.918 1.918 3.054
CELL_PARAMETERS angstrom
3.836 0.000 0.000
0.000 3.836 0.000
0.000 0.000 9.694
! calculated formation energy = -0.52 eV per formula unit
! E above lowest polymorph = 0 meV per atom
! SG = P4mm, No. 99
! crystal system = tetragonal
! DOS at the Fermi energy = 4.84 states/eV/cell
! density = 4.90 g/cm³


! RbSmCuBr5 GGA-PBE relaxed; values from VASP
&SYSTEM
  ibrav = 0, nat = 16, ntyp = 4
/
ATOMIC_SPECIES
Rb 85.47 Rb.upf
Sm 150.36 Sm.upf
Cu 63.55 Cu.upf
Br 79.90 Br.upf
ATOMIC_POSITIONS angstrom
Rb 0.732 4.081 2.403
Rb 2.476 0.252 7.357
Sm -1.213 -1.639 4.954
Sm 0.000 0.000 0.000
Cu 4.138 1.559 2.403
Cu -0.930 2.774 7.357
Br -2.021 6.118 2.403
Br 5.228 -1.786 7.357
Br 6.145 2.050 1.051
Br -2.937 2.283 8.709
Br 4.254 -0.504 3.755
Br -1.046 4.836 6.005
Br 3.597 3.304 4.123
Br -0.390 1.028 5.637
Br 2.311 1.566 0.683
Br 0.897 2.766 9.077
CELL_PARAMETERS angstrom
7.884 0.054 -0.074
-2.249 7.556 -0.074
-2.427 -3.278 9.908
! SG = C2/c, No. 15
! crystal system = monoclinic
! DOS at the Fermi energy = 0.00 states/eV/cell
! density = 3.95 g/cm³
! energy relative to the elements, uncorrected = -11.47 eV/f.u.


! K3ReSn GGA-PBE relaxed; values from VASP
&SYSTEM
  ibrav = 0, nat = 5, ntyp = 3
/
ATOMIC_SPECIES
Re 186.21 Re.upf
K 39.10 K.upf
Sn 118.71 Sn.upf
ATOMIC_POSITIONS angstrom
Re 3.360 3.360 3.360
K 0.000 3.360 0.000
K 0.000 0.000 3.360
K 3.360 0.000 0.000
Sn 0.000 0.000 0.000
CELL_PARAMETERS angstrom
6.721 0.000 0.000
0.000 6.721 0.000
0.000 0.000 6.721
! calculated formation energy = 7.25 eV per formula unit
! E above lowest polymorph = 0 meV per atom
! SG = Pm-3m, No. 221
! crystal system = cubic
! DOS at the Fermi energy = 5.72 states/eV/cell
! density = 2.31 g/cm³


! Ce2HoSn GGA-PBE relaxed; values from VASP
&SYSTEM
  ibrav = 0, nat = 4, ntyp = 3
/
ATOMIC_SPECIES
Ho 164.93 Ho.upf
Ce 140.12 Ce.upf
Sn 118.71 Sn.upf
ATOMIC_POSITIONS angstrom
Ho 3.383 1.953 6.104
Ce 1.692 0.977 9.003
Ce 5.075 2.930 3.204
Sn 0.000 0.000 0.000
CELL_PARAMETERS angstrom
3.383 0.000 0.000
1.692 2.930 0.000
1.692 0.977 12.207
! calculated formation energy = 0.59 eV per formula unit
! E above lowest polymorph = 550 meV per atom
! SG = R-3m, No. 166
! crystal system = trigonal
! DOS at the Fermi energy = 10.25 states/eV/cell
! density = 7.74 g/cm³


! Ac2La3Dy GGA-PBE relaxed; values from VASP
&SYSTEM
  ibrav = 0, nat = 12, ntyp = 3
/
ATOMIC_SPECIES
Ac 227.00 Ac.upf
La 138.91 La.upf
Dy 162.50 Dy.upf
ATOMIC_POSITIONS angstrom
Ac -8.032 -7.797 -2.380
Ac -11.238 -12.145 0.162
Ac -3.183 -2.806 -1.752
Ac -6.390 -7.154 0.789
La -10.102 -8.454 0.922
La -4.320 -6.496 -2.512
La -7.086 -9.039 3.687
La -10.492 -10.306 -2.754
La -3.930 -4.645 1.163
La -7.336 -5.911 -5.278
Dy -6.926 -4.078 -1.609
Dy -7.496 -10.873 0.019
CELL_PARAMETERS angstrom
-6.634 -0.688 -2.426
-1.428 -5.517 -4.229
-6.360 -8.746 5.065
! calculated formation energy = 0.49 eV per formula unit
! SG = C2/c, No. 15
! crystal system = monoclinic
! DOS at the Fermi energy = 18.03 states/eV/cell
! density = 7.43 g/cm³


! Ho5Sc2 GGA-PBE relaxed; values from VASP
&SYSTEM
  ibrav = 0, nat = 7, ntyp = 2
/
ATOMIC_SPECIES
Ho 164.93 Ho.upf
Sc 44.96 Sc.upf
ATOMIC_POSITIONS angstrom
Ho 2.741 1.583 6.249
Ho 8.223 4.748 5.211
Ho 5.482 3.165 3.957
Ho 2.741 1.583 2.703
Ho 8.223 4.748 1.665
Sc 5.482 3.165 0.550
Sc 5.482 3.165 7.363
CELL_PARAMETERS angstrom
5.482 0.000 0.000
2.741 4.748 0.000
2.741 1.583 7.914
! calculated formation energy = 1.03 eV per formula unit
! E above lowest polymorph = 0 meV per atom
! SG = R-3m, No. 166
! crystal system = trigonal
! DOS at the Fermi energy = 17.54 states/eV/cell
! density = 7.37 g/cm³


! AcTlPtRh GGA-PBE relaxed; values from VASP
&SYSTEM
  ibrav = 0, nat = 4, ntyp = 4
/
ATOMIC_SPECIES
Ac 227.00 Ac.upf
Rh 102.91 Rh.upf
Tl 204.38 Tl.upf
Pt 195.08 Pt.upf
ATOMIC_POSITIONS angstrom
Ac 0.000 0.000 0.000
Rh 2.524 1.458 1.031
Tl 5.049 2.915 2.061
Pt 7.573 4.373 3.092
CELL_PARAMETERS angstrom
5.049 0.000 0.000
2.524 4.373 0.000
2.524 1.458 4.122
! calculated formation energy = -1.66 eV per formula unit
! SG = F-43m, No. 216
! crystal system = cubic
! DOS at the Fermi energy = 3.39 states/eV/cell
! density = 13.31 g/cm³


! TlGaRu2 GGA-PBE relaxed; values from VASP
&SYSTEM
  ibrav = 0, nat = 8, ntyp = 3
/
ATOMIC_SPECIES
Ru 101.07 Ru.upf
Tl 204.38 Tl.upf
Ga 69.72 Ga.upf
ATOMIC_POSITIONS angstrom
Ru 2.725 1.035 2.265
Ru 1.414 3.104 2.265
Ru 3.104 3.483 6.794
Ru 5.174 4.794 6.794
Tl 0.000 0.000 0.000
Tl 4.139 2.069 4.529
Ga 2.069 2.069 0.000
Ga 2.069 4.139 4.529
CELL_PARAMETERS angstrom
4.139 0.000 0.000
0.000 4.139 0.000
2.069 2.069 9.058
! calculated formation energy = 2.30 eV per formula unit
! E above lowest polymorph = 305 meV per atom
! SG = I-42d, No. 122
! crystal system = tetragonal
! DOS at the Fermi energy = 6.24 states/eV/cell
! density = 10.19 g/cm³


! FeAu2 GGA-PBE relaxed; values from VASP
&SYSTEM
  ibrav = 0, nat = 6, ntyp = 2
/
ATOMIC_SPECIES
Fe 55.84 Fe.upf
Au 196.97 Au.upf
ATOMIC_POSITIONS angstrom
Fe 1.425 1.610 3.542
Fe 1.425 -1.610 1.181
Au 1.425 -3.267 3.542
Au 1.425 -6.509 1.181
Au 1.425 6.509 3.542
Au 1.425 3.267 1.181
CELL_PARAMETERS angstrom
1.425 -7.275 0.000
1.425 7.275 0.000
0.000 0.000 4.723
! calculated formation energy = 0.43 eV per formula unit
! SG = Cmcm, No. 63
! crystal system = orthorhombic
! DOS at the Fermi energy = 3.62 states/eV/cell
! density = 15.25 g/cm³


! Ta2GaTeIr GGA-PBE relaxed; values from VASP
&SYSTEM
  ibrav = 0, nat = 5, ntyp = 4
/
ATOMIC_SPECIES
Ir 192.22 Ir.upf
Te 127.60 Te.upf
Ga 69.72 Ga.upf
Ta 180.95 Ta.upf
ATOMIC_POSITIONS angstrom
Ir 0.000 0.000 0.000
Te -0.331 1.472 3.938
Ga -0.818 -1.258 1.764
Ta 1.874 0.796 1.437
Ta -1.387 1.935 0.737
CELL_PARAMETERS angstrom
-2.774 3.870 1.474
-1.636 -2.517 3.527
3.748 1.592 2.874
! SG = P4/mmm, No. 123
! crystal system = tetragonal
! DOS at the Fermi energy = 6.39 states/eV/cell
! density = 10.84 g/cm³
! energy relative to the elements, uncorrected = 3.01 eV/f.u.


! SrMo5 GGA-PBE relaxed; values from VASP
&SYSTEM
  ibrav = 0, nat = 6, ntyp = 2
/
ATOMIC_SPECIES
Sr 87.62 Sr.upf
Mo 95.94 Mo.upf
ATOMIC_POSITIONS angstrom
Sr -2.097 -0.568 -0.610
Mo 1.631 -8.166 1.989
Mo 0.478 -2.391 0.582
Mo -0.738 -7.372 1.047
Mo -1.348 -4.320 0.303
Mo 1.054 -5.278 1.286
CELL_PARAMETERS angstrom
-2.811 -0.197 1.498
-1.383 -0.939 -2.719
2.109 -10.557 2.571
! calculated formation energy = 2.66 eV per formula unit
! E above lowest polymorph = 0 meV per atom
! SG = P4/mmm, No. 123
! crystal system = tetragonal
! DOS at the Fermi energy = 5.78 states/eV/cell
! density = 8.36 g/cm³


! Tl2PbAu GGA-PBE relaxed; values from VASP
&SYSTEM
  ibrav = 0, nat = 4, ntyp = 3
/
ATOMIC_SPECIES
Pb 207.20 Pb.upf
Tl 204.38 Tl.upf
Au 196.97 Au.upf
ATOMIC_POSITIONS angstrom
Pb 3.206 1.165 2.632
Tl 10.773 3.916 1.838
Tl 10.808 3.929 5.836
Au 6.578 2.391 2.861
CELL_PARAMETERS angstrom
6.093 0.226 0.901
4.816 3.740 0.901
2.727 0.991 5.776
! calculated formation energy = 0.00 eV per formula unit
! SG = Cm, No. 8
! crystal system = monoclinic
! DOS at the Fermi energy = 1.88 states/eV/cell
! density = 11.68 g/cm³


! La6Pr3Hg GGA-PBE relaxed; values from VASP
&SYSTEM
  ibrav = 0, nat = 20, ntyp = 3
/
ATOMIC_SPECIES
La 138.91 La.upf
Pr 140.91 Pr.upf
Hg 200.59 Hg.upf
ATOMIC_POSITIONS angstrom
La -2.943 -9.434 6.356
La -1.518 -7.427 3.461
La 1.512 -5.976 -0.213
La 1.139 -10.527 4.085
La 4.169 -9.075 0.410
La 5.594 -7.069 -2.485
La -1.305 -8.239 -0.271
La -0.722 -5.662 -3.002
La -4.647 -9.156 3.182
La 7.298 -7.346 0.689
La 3.373 -10.840 6.874
La 3.957 -8.264 4.143
Pr 3.963 -12.107 3.245
Pr 2.957 -4.528 -2.634
Pr -1.312 -4.396 0.627
Pr 1.880 -8.391 -2.658
Pr -1.632 -3.723 4.569
Pr 0.772 -8.112 6.529
Hg 1.326 -8.251 1.936
Hg 0.000 0.000 0.000
CELL_PARAMETERS angstrom
-2.821 -3.138 -3.564
8.735 -5.918 -1.703
-3.263 -7.446 9.138
! calculated formation energy = -0.05 eV per formula unit
! E above lowest polymorph = 59 meV per atom
! SG = Pnnm, No. 58
! crystal system = orthorhombic
! DOS at the Fermi energy = 27.88 states/eV/cell
! density = 6.70 g/cm³


! KTlAs2Br GGA-PBE relaxed; values from VASP
&SYSTEM
  ibrav = 0, nat = 5, ntyp = 4
/
ATOMIC_SPECIES
K 39.10 K.upf
Tl 204.38 Tl.upf
As 74.92 As.upf
Br 79.90 Br.upf
ATOMIC_POSITIONS angstrom
K 0.000 0.000 0.000
Tl -2.928 -3.889 2.256
As 0.077 -3.048 -0.770
As -3.141 -0.110 0.118
Br 0.135 -0.731 2.907
CELL_PARAMETERS angstrom
-6.282 -0.219 0.237
0.155 -6.097 -1.540
0.270 -1.462 5.815
! E above lowest polymorph = 490 meV per atom
! SG = P4/mmm, No. 123
! crystal system = tetragonal
! DOS at the Fermi energy = 2.54 states/eV/cell
! density = 3.31 g/cm³
! energy relative to the elements, uncorrected = 2.94 eV/f.u.


! Ac3La8Sm3 GGA-PBE relaxed; values from VASP
&SYSTEM
  ibrav = 0, nat = 14, ntyp = 3
/
ATOMIC_SPECIES
Ac 227.00 Ac.upf
La 138.91 La.upf
Sm 150.36 Sm.upf
ATOMIC_POSITIONS angstrom
Ac 4.207 4.113 6.782
Ac 5.013 1.794 3.824
Ac 3.402 6.431 9.740
La 4.052 0.086 7.350
La 4.362 8.140 6.213
La 5.183 5.776 3.198
La 3.231 2.449 10.366
La 6.890 6.546 8.046
La 1.524 1.680 5.518
La 6.373 3.946 9.943
La 2.041 4.280 3.620
Sm 2.818 0.000 0.767
Sm 2.128 7.830 3.302
Sm 0.651 0.396 8.727
CELL_PARAMETERS angstrom
5.636 0.000 1.535
2.451 9.456 2.115
0.327 -1.230 9.914
! calculated formation energy = 1.75 eV per formula unit
! SG = Immm, No. 71
! crystal system = orthorhombic
! DOS at the Fermi energy = 22.03 states/eV/cell
! density = 6.98 g/cm³


! ZnAuI4 GGA-PBE relaxed; values from VASP
&SYSTEM
  ibrav = 0, nat = 12, ntyp = 3
/
ATOMIC_SPECIES
Zn 65.41 Zn.upf
Au 196.97 Au.upf
I 126.90 I.upf
ATOMIC_POSITIONS angstrom
Zn 0.000 0.000 0.000
Zn 0.000 0.000 5.855
Au 0.000 3.150 2.927
Au 3.150 0.000 8.782
I 1.491 1.645 10.270
I 4.810 4.656 10.270
I 1.645 1.491 4.415
I 1.491 4.656 7.294
I 4.810 1.645 7.294
I 1.645 4.810 1.439
I 4.656 1.491 1.439
I 4.656 4.810 4.415
CELL_PARAMETERS angstrom
6.301 0.000 0.000
0.000 6.301 0.000
0.000 0.000 11.709
! SG = P-42c, No. 112
! crystal system = tetragonal
! DOS at the Fermi energy = 18.99 states/eV/cell
! density = 5.50 g/cm³
! energy relative to the elements, uncorrected = -1.30 eV/f.u.


! AlAs GGA-PBE relaxed; values from VASP
&SYSTEM
  ibrav = 0, nat = 12, ntyp = 2
/
ATOMIC_SPECIES
Al 26.98 Al.upf
As 74.92 As.upf
ATOMIC_POSITIONS angstrom
Al -3.882 -7.467 5.004
Al -2.283 -4.032 9.678
Al -1.965 -0.033 1.973
Al -3.748 -5.776 1.745
Al -2.308 -2.428 -1.355
Al -3.406 -3.381 5.073
As -3.730 -8.354 7.348
As -2.435 -3.144 7.334
As -2.299 -1.431 4.032
As -3.415 -4.378 -0.315
As -2.751 -5.502 3.999
As -2.963 -0.308 -0.282
CELL_PARAMETERS angstrom
-3.109 2.347 1.090
-3.933 -4.138 -2.309
-0.452 -5.689 10.964
! calculated formation energy = -0.75 eV per formula unit
! SG = Pmmn, No. 59
! crystal system = orthorhombic
! DOS at the Fermi energy = 0.00 states/eV/cell
! density = 3.30 g/cm³


! ReTcP2 GGA-PBE relaxed; values from VASP
&SYSTEM
  ibrav = 0, nat = 8, ntyp = 3
/
ATOMIC_SPECIES
Re 186.21 Re.upf
Tc 98.00 Tc.upf
P 30.97 P.upf
ATOMIC_POSITIONS angstrom
Re 0.000 0.000 0.000
Re -2.172 -5.631 -2.405
Tc -0.572 -2.296 -2.921
Tc 1.471 -5.398 -3.302
P -2.141 -3.448 -1.709
P 1.505 -3.214 -2.605
P -0.097 -6.549 -2.089
P -0.668 -8.846 -5.012
CELL_PARAMETERS angstrom
-4.216 -2.529 -2.024
3.071 -2.064 -3.818
0.444 -6.436 0.135
! calculated formation energy = 0.59 eV per formula unit
! E above lowest polymorph = 442 meV per atom
! SG = I-42d, No. 122
! crystal system = tetragonal
! DOS at the Fermi energy = 2.40 states/eV/cell
! density = 7.75 g/cm³


! CaCe2Lu GGA-PBE relaxed; values from VASP
&SYSTEM
  ibrav = 0, nat = 4, ntyp = 3
/
ATOMIC_SPECIES
Ca 40.08 Ca.upf
Lu 174.97 Lu.upf
Ce 140.12 Ce.upf
ATOMIC_POSITIONS angstrom
Ca 0.000 0.000 0.000
Lu 3.401 1.963 6.281
Ce 1.700 0.982 9.184
Ce 5.101 2.945 3.379
CELL_PARAMETERS angstrom
3.401 0.000 0.000
1.700 2.945 0.000
1.700 0.982 12.563
! calculated formation energy = 0.98 eV per formula unit
! E above lowest polymorph = 50 meV per atom
! SG = R-3m, No. 166
! crystal system = trigonal
! DOS at the Fermi energy = 11.91 states/eV/cell
! density = 6.54 g/cm³


! CaSc2SnOs GGA-PBE relaxed; values from VASP
&SYSTEM
  ibrav = 0, nat = 5, ntyp = 4
/
ATOMIC_SPECIES
Sc 44.96 Sc.upf
Ca 40.08 Ca.upf
Os 190.23 Os.upf
Sn 118.71 Sn.upf
ATOMIC_POSITIONS angstrom
Sc 1.107 0.979 2.077
Sc -0.254 -2.239 1.191
Ca 0.000 0.000 0.000
Os 2.102 -0.668 -0.806
Sn 2.955 -1.928 2.462
CELL_PARAMETERS angstrom
-0.509 -4.479 2.383
4.205 -1.335 -1.612
2.215 1.959 4.154
! calculated formation energy = 6.85 eV per formula unit
! SG = P4/mmm, No. 123
! crystal system = tetragonal
! DOS at the Fermi energy = 5.60 states/eV/cell
! density = 5.97 g/cm³


! ScPOs2 GGA-PBE relaxed; values from VASP
&SYSTEM
  ibrav = 0, nat = 4, ntyp = 3
/
ATOMIC_SPECIES
Sc 44.96 Sc.upf
P 30.97 P.upf
Os 190.23 Os.upf
ATOMIC_POSITIONS angstrom
Sc 0.467 -0.974 0.909
P -0.869 -3.396 1.141
Os -1.950 -0.352 1.695
Os 0.613 -2.069 -1.463
CELL_PARAMETERS angstrom
-3.900 -0.705 3.390
1.226 -4.138 -2.927
0.935 -1.949 1.818
! calculated formation energy = 0.06 eV per formula unit
! SG = C2/m, No. 12
! crystal system = monoclinic
! DOS at the Fermi energy = 3.65 states/eV/cell
! density = 12.61 g/cm³


! CdHg2Ir GGA-PBE relaxed; values from VASP
&SYSTEM
  ibrav = 0, nat = 4, ntyp = 3
/
ATOMIC_SPECIES
Ir 192.22 Ir.upf
Hg 200.59 Hg.upf
Cd 112.41 Cd.upf
ATOMIC_POSITIONS angstrom
Ir 1.109 -3.250 0.941
Hg 0.064 -0.218 -0.005
Hg -1.497 -2.804 0.085
Cd -0.550 -5.606 0.837
CELL_PARAMETERS angstrom
-4.221 -1.257 0.634
0.379 -2.366 -2.167
1.852 -4.714 2.983
! calculated formation energy = 1.24 eV per formula unit
! E above lowest polymorph = 110 meV per atom
! SG = Pm, No. 6
! crystal system = monoclinic
! DOS at the Fermi energy = 1.42 states/eV/cell
! density = 14.46 g/cm³


! Be2RuPb GGA-PBE relaxed; values from VASP
&SYSTEM
  ibrav = 0, nat = 4, ntyp = 3
/
ATOMIC_SPECIES
Pb 207.20 Pb.upf
Ru 101.07 Ru.upf
Be 9.01 Be.upf
ATOMIC_POSITIONS angstrom
Pb -4.982 1.499 -1.176
Ru -2.491 0.750 -0.588
Be 0.000 0.000 0.000
Be -7.473 2.249 -1.764
CELL_PARAMETERS angstrom
-2.427 2.706 -2.400
-3.836 -1.332 -1.574
-3.701 1.624 1.622
! calculated formation energy = 2.73 eV per formula unit
! E above lowest polymorph = 594 meV per atom
! SG = F-43m, No. 216
! crystal system = cubic
! DOS at the Fermi energy = 2.75 states/eV/cell
! density = 9.28 g/cm³